CrNi2MoH: relaxed, PBE.

Cell: 3.584 3.584 4.029 Å, 90.00 90.00 90.00°
Element x y z (fractional)
1 Ni 0.000 0.500 0.000
2 Ni 0.500 0.000 0.000
3 Mo 0.000 0.000 0.500
4 H 0.000 0.000 0.000
5 Cr 0.500 0.500 0.500

## Properties
As for the offset from the most stable computed form: 0.0236 eV per atom. The magnetization is 1.1 μB/f.u.

=====

Ac7PmTm2: relaxed, PBE.

Cell: 6.135 9.634 9.634 Å, 63.59 90.00 90.00°
Element x y z (fractional)
1 Ac 0.000 0.243 0.243
2 Ac 0.000 0.757 0.757
3 Ac 0.500 0.940 0.310
4 Ac 0.500 0.060 0.690
5 Ac 0.500 0.690 0.060
6 Ac 0.500 0.310 0.940
7 Ac 0.500 0.500 0.500
8 Pm 0.000 0.000 0.000
9 Tm 0.500 0.298 0.298
10 Tm 0.500 0.702 0.702

## Properties
Its calculated formation energy is 0.62 eV per atom. The magnetization is 0.0 μB/f.u.

=====

BaAlP2: relaxed, PBE.

Cell: 4.435 4.435 6.073 Å, 70.05 70.05 56.22°
Element x y z (fractional)
1 P 0.039 0.039 0.868
2 P 0.461 0.461 0.632
3 Ba 0.250 0.250 0.250
4 Al 0.750 0.750 0.750

## Properties
Its calculated formation energy is -0.45 eV per atom. The magnetization is 0.0 μB/f.u.

=====

Pm4SmY2Sc: relaxed, PBE.

Cell: 5.094 5.075 11.234 Å, 63.14 90.00 90.00°
Element x y z (fractional)
1 Pm 0.000 0.756 0.744
2 Pm 0.000 0.244 0.256
3 Pm 0.500 0.744 0.256
4 Pm 0.500 0.256 0.744
5 Sm 0.500 0.500 0.000
6 Y 0.000 0.000 0.000
7 Y 0.500 0.000 0.500
8 Sc 0.000 0.500 0.500

## Properties
Its calculated formation energy is 0.03 eV per atom. The magnetization is 0.0 μB/f.u.

=====

CePuAlIn: relaxed, PBE.

Cell: 5.278 5.278 5.278 Å, 60.00 60.00 60.00°
Element x y z (fractional)
1 In 0.500 0.500 0.500
2 Al 0.000 0.000 0.000
3 Ce 0.250 0.250 0.250
4 Pu 0.750 0.750 0.750

## Properties
Its calculated formation energy is -0.15 eV per atom. The magnetization is 6.4 μB/f.u.

=====

NaNiAsBr2: relaxed, PBE.

Cell: 5.351 5.351 5.523 Å, 90.00 90.00 90.00°
Element x y z (fractional)
1 Ni 0.500 0.500 0.500
2 As 0.000 0.000 0.500
3 Br 0.000 0.500 0.000
4 Br 0.500 0.000 0.000
5 Na 0.000 0.000 0.000

## Properties
The formation energy (no corrections) comes out at 0.76 eV per atom. As for the offset from the most stable computed form: 1.0491 eV per atom. The magnetization is 3.9 μB/f.u.